[1]
The following is a GGA-PBE calculation of a relaxed structure of Ti5VRh4, from Alexandria.

**Total energy**: -84.3 eV/cell
**SG**: P4/mmm, No. 123
**Mass density**: 7.783 g/cm³
**Formation energy from the elements**: -0.6299 eV/atom

Lattice parameters (Å, degrees): 3.1264 3.1264 15.3215 90.00 90.00 90.00
Closest atoms and distances in Å follow each position.
Fractional positions:
Ti  0.0000  0.0000  0.0000  8 Rh 2.69
Ti  0.0000  0.0000  0.1996  8 Rh 2.66-2.69
Ti  0.0000  0.0000  0.4017  4 V 2.67, 4 Rh 2.74
Ti  0.0000  0.0000  0.5983  4 V 2.67, 4 Rh 2.74
Ti  0.0000  0.0000  0.8004  8 Rh 2.66-2.69
V  0.5000  0.5000  0.5000  8 Ti 2.67
Rh  0.5000  0.5000  0.0995  8 Ti 2.69, 1 Rh 3.01
Rh  0.5000  0.5000  0.2956  8 Ti 2.66-2.74
Rh  0.5000  0.5000  0.7044  8 Ti 2.66-2.74
Rh  0.5000  0.5000  0.9005  8 Ti 2.69, 1 Rh 3.01

---

[2]
The following is a GGA-PBE calculation of a relaxed structure of NaAu2Br8, from Alexandria.

**Raw formation energy**: -298.5 meV/atom
**Total energy**: -24.5 eV/cell
**SG**: I422, No. 97
**Mass density**: 4.678 g/cm³

Lattice parameters (Å, degrees): 8.4903 8.4903 8.4903 127.36 127.36 77.67
Closest atoms and distances in Å follow each position.
Fractional positions:
Na  0.0000  0.0000  0.0000  8 Br 3.26
Au  0.2500  0.7500  0.5000  4 Br 2.47
Au  0.7500  0.2500  0.5000  4 Br 2.47
Br  0.0505  0.5425  0.8334  1 Au 2.47
Br  0.2171  0.0505  0.5080  1 Au 2.47
Br  0.2909  0.4575  0.5080  1 Au 2.47
Br  0.4575  0.9495  0.1666  1 Au 2.47
Br  0.5425  0.7091  0.4920  1 Au 2.47
Br  0.7091  0.2171  0.1666  1 Au 2.47
Br  0.7829  0.2909  0.8334  1 Au 2.47
Br  0.9495  0.7829  0.4920  1 Au 2.47

---

[3]
The following is a GGA-PBE calculation of a relaxed structure of BaHg6Pb, from Alexandria.

**Total energy**: -18.1 eV/cell
**SG**: Amm2, No. 38
**Mass density**: 10.973 g/cm³
**Formation energy from the elements**: -0.1990 eV/atom

Lattice parameters (Å, degrees): 5.2004 7.5759 11.8925 90.00 90.00 90.00
Closest atoms and distances in Å follow each position.
Fractional positions:
Ba  0.0000  0.0000  0.0000  12 Hg 3.46-3.81
Ba  0.0000  0.5000  0.5000  12 Hg 3.46-3.81
Hg  0.0000  0.0000  0.5304  8 Hg 3.23-3.59, 2 Pb 3.39
Hg  0.0000  0.2223  0.2634  7 Hg 3.21-3.59, 2 Pb 3.40, 2 Ba 3.51-3.56
Hg  0.0000  0.2777  0.7634  7 Hg 3.21-3.59, 2 Pb 3.40, 2 Ba 3.51-3.56
Hg  0.0000  0.5000  0.0304  8 Hg 3.23-3.59, 2 Pb 3.39
Hg  0.0000  0.7223  0.7634  7 Hg 3.21-3.59, 2 Pb 3.40, 2 Ba 3.51-3.56
Hg  0.0000  0.7777  0.2634  7 Hg 3.21-3.59, 2 Pb 3.40, 2 Ba 3.51-3.56
Hg  0.5000  0.0000  0.1915  6 Hg 3.21-3.38, 2 Ba 3.46
Hg  0.5000  0.2103  0.4418  6 Hg 3.19-3.38, 2 Ba 3.47, 1 Pb 3.49
Hg  0.5000  0.2897  0.9418  6 Hg 3.19-3.38, 2 Ba 3.47, 1 Pb 3.49
Hg  0.5000  0.5000  0.6915  6 Hg 3.21-3.38, 2 Ba 3.46
Hg  0.5000  0.7103  0.9418  6 Hg 3.19-3.38, 2 Ba 3.47, 1 Pb 3.49
Hg  0.5000  0.7897  0.4418  6 Hg 3.19-3.38, 2 Ba 3.47, 1 Pb 3.49
Pb  0.5000  0.0000  0.7137  12 Hg 3.39-3.80
Pb  0.5000  0.5000  0.2137  12 Hg 3.39-3.80

---

[4]
The following is a GGA-PBE calculation of a relaxed structure of Th2Al3InAg4, from Alexandria.

**Total energy**: -42.8 eV/cell
**SG**: P-4m2, No. 115
**Mass density**: 8.402 g/cm³
**Formation energy from the elements**: -0.2567 eV/atom

Lattice parameters (Å, degrees): 4.3915 4.3915 11.1844 90.00 90.00 90.00
Closest atoms and distances in Å follow each position.
Fractional positions:
Th  0.0000  0.5000  0.2380  6 Al 3.33-3.66, 8 Ag 3.37-3.45, 2 In 3.66
Th  0.5000  0.0000  0.7620  6 Al 3.33-3.66, 8 Ag 3.37-3.45, 2 In 3.66
Al  0.0000  0.5000  0.8697  5 Ag 2.50-2.64
Al  0.5000  0.0000  0.1303  5 Ag 2.50-2.64
Al  0.5000  0.5000  0.5000  4 Ag 2.73
In  0.0000  0.0000  0.5000  4 Ag 2.73
Ag  0.0000  0.0000  0.0000  4 Al 2.64
Ag  0.0000  0.5000  0.6458  3 Al 2.50-2.73, 2 In 2.73
Ag  0.5000  0.0000  0.3542  3 Al 2.50-2.73, 2 In 2.73
Ag  0.5000  0.5000  0.0000  4 Al 2.64

---

[5]
The following is a GGA-PBE calculation of a relaxed structure of SiPt2W, from Alexandria.

**Raw formation energy**: -179.6 meV/atom
**Total energy**: -93.5 eV/cell
**SG**: R3m, No. 160
**Mass density**: 16.560 g/cm³

Lattice parameters (Å, degrees): 2.8431 2.8431 25.8727 90.00 90.00 120.00
Closest atoms and distances in Å follow each position.
Fractional positions:
Si  0.0000  0.0000  0.0000  3 Pt 2.51, 3 W 2.64
Si  0.3333  0.6667  0.6667  3 Pt 2.51, 3 W 2.64
Si  0.6667  0.3333  0.3333  3 Pt 2.51, 3 W 2.64
Pt  0.0000  0.0000  0.5020  3 W 2.74, 9 Pt 2.84-2.96
Pt  0.0000  0.0000  0.7402  3 Si 2.51
Pt  0.3333  0.6667  0.1687  3 W 2.74, 9 Pt 2.84-2.96
Pt  0.3333  0.6667  0.4069  3 Si 2.51
Pt  0.6667  0.3333  0.0736  3 Si 2.51
Pt  0.6667  0.3333  0.8354  3 W 2.74, 9 Pt 2.84-2.96
W  0.0000  0.0000  0.2535  3 Si 2.64, 3 Pt 2.74, 6 W 2.84
W  0.3333  0.6667  0.9201  3 Si 2.64, 3 Pt 2.74, 6 W 2.84
W  0.6667  0.3333  0.5868  3 Si 2.64, 3 Pt 2.74, 6 W 2.84

---

[6]
The following is a GGA-PBE calculation of a relaxed structure of Cs2NbPI6, from Alexandria.

**Raw formation energy**: -530.9 meV/atom
**Total energy**: -31.8 eV/cell
**SG**: I4/mmm, No. 139
**Mass density**: 4.278 g/cm³

Lattice parameters (Å, degrees): 8.4666 8.4666 8.4666 116.94 116.94 95.38
Closest atoms and distances in Å follow each position.
Fractional positions:
Cs  0.2500  0.7500  0.5000  12 I 4.24-4.43
Cs  0.7500  0.2500  0.5000  12 I 4.24-4.43
Nb  0.0000  0.0000  0.0000  6 I 2.85-2.93
P  0.5000  0.5000  0.0000  2 I 2.77
I  0.2277  0.2277  0.4554  1 Nb 2.85
I  0.2277  0.7723  0.0000  1 Nb 2.85
I  0.2569  0.2569  0.0000  1 P 2.77, 1 Nb 2.93
I  0.7431  0.7431  0.0000  1 P 2.77, 1 Nb 2.93
I  0.7723  0.2277  0.0000  1 Nb 2.85
I  0.7723  0.7723  0.5446  1 Nb 2.85

---

[7]
The following is a GGA-PBE calculation of a relaxed structure of V2MoOs, from Alexandria.

**Total energy**: -152.7 eV/cell
**SG**: I-42d, No. 122
**Energy above the most stable polymorph in this dataset**: 841 meV per atom
**Mass density**: 10.467 g/cm³
**Formation energy from the elements**: 0.5330 eV/atom

Lattice parameters (Å, degrees): 6.8456 6.8456 5.2546 90.00 90.00 90.00
Closest atoms and distances in Å follow each position.
Fractional positions:
V  0.2396  0.2500  0.1250  2 Os 2.46, 2 Mo 2.56, 2 V 2.63
V  0.2500  0.7396  0.3750  2 Os 2.46, 2 Mo 2.56, 2 V 2.63
V  0.2500  0.7604  0.8750  2 Os 2.46, 2 Mo 2.56, 2 V 2.63
V  0.2604  0.2500  0.6250  2 Os 2.46, 2 Mo 2.56, 2 V 2.63
V  0.7396  0.7500  0.6250  2 Os 2.46, 2 Mo 2.56, 2 V 2.63
V  0.7500  0.2396  0.8750  2 Os 2.46, 2 Mo 2.56, 2 V 2.63
V  0.7500  0.2604  0.3750  2 Os 2.46, 2 Mo 2.56, 2 V 2.63
V  0.7604  0.7500  0.1250  2 Os 2.46, 2 Mo 2.56, 2 V 2.63
Mo  0.0000  0.0000  0.5000  4 V 2.56, 2 Os 2.63
Mo  0.0000  0.5000  0.7500  4 V 2.56, 2 Os 2.63
Mo  0.5000  0.0000  0.2500  4 V 2.56, 2 Os 2.63
Mo  0.5000  0.5000  0.0000  4 V 2.56, 2 Os 2.63
Os  0.0000  0.0000  0.0000  4 V 2.46, 2 Mo 2.63
Os  0.0000  0.5000  0.2500  4 V 2.46, 2 Mo 2.63
Os  0.5000  0.0000  0.7500  4 V 2.46, 2 Mo 2.63
Os  0.5000  0.5000  0.5000  4 V 2.46, 2 Mo 2.63

---

[8]
The following is a GGA-PBE calculation of a relaxed structure of NdAl6Zn12, from Alexandria.

**Total energy**: -41.8 eV/cell
**SG**: R-3m, No. 166
**Mass density**: 5.337 g/cm³
**Formation energy from the elements**: 0.0353 eV/atom

Lattice parameters (Å, degrees): 7.1937 7.1937 7.1937 102.78 102.78 102.78
Closest atoms and distances in Å follow each position.
Fractional positions:
Nd  0.0000  0.0000  0.0000  6 Zn 3.13
Al  0.2886  0.6976  0.6976  8 Zn 2.57-2.86
Al  0.3024  0.3024  0.7114  8 Zn 2.57-2.86
Al  0.3024  0.7114  0.3024  8 Zn 2.57-2.86
Al  0.6976  0.2886  0.6976  8 Zn 2.57-2.86
Al  0.6976  0.6976  0.2886  8 Zn 2.57-2.86
Al  0.7114  0.3024  0.3024  8 Zn 2.57-2.86
Zn  0.1068  0.5000  0.8932  1 Zn 2.40, 2 Al 2.57
Zn  0.1068  0.8932  0.5000  1 Zn 2.40, 2 Al 2.57
Zn  0.1276  0.3711  0.3711  4 Al 2.70-2.83, 4 Zn 2.72-2.74
Zn  0.3711  0.1276  0.3711  4 Al 2.70-2.83, 4 Zn 2.72-2.74
Zn  0.3711  0.3711  0.1276  4 Al 2.70-2.83, 4 Zn 2.72-2.74
Zn  0.5000  0.1068  0.8932  1 Zn 2.40, 2 Al 2.57
Zn  0.5000  0.8932  0.1068  1 Zn 2.40, 2 Al 2.57
Zn  0.6289  0.6289  0.8724  4 Al 2.70-2.83, 4 Zn 2.72-2.74
Zn  0.6289  0.8724  0.6289  4 Al 2.70-2.83, 4 Zn 2.72-2.74
Zn  0.8724  0.6289  0.6289  4 Al 2.70-2.83, 4 Zn 2.72-2.74
Zn  0.8932  0.1068  0.5000  1 Zn 2.40, 2 Al 2.57
Zn  0.8932  0.5000  0.1068  1 Zn 2.40, 2 Al 2.57

---

[9]
The following is a GGA-PBE calculation of a relaxed structure of Pr2DyIn2, from Alexandria.

**Total energy**: -43.1 eV/cell
**SG**: Immm, No. 71
**Energy above the most stable polymorph in this dataset**: 0 meV per atom
**Mass density**: 7.286 g/cm³
**Formation energy from the elements**: -0.3821 eV/atom

Lattice parameters (Å, degrees): 5.0487 7.1064 8.5623 90.00 90.00 90.00
Closest atoms and distances in Å follow each position.
Fractional positions:
Pr  0.0000  0.0000  0.1938  1 Pr 3.32, 6 In 3.33-3.38, 2 Dy 3.64
Pr  0.0000  0.0000  0.8062  1 Pr 3.32, 6 In 3.33-3.38, 2 Dy 3.64
Pr  0.5000  0.5000  0.3062  1 Pr 3.32, 6 In 3.33-3.38, 2 Dy 3.64
Pr  0.5000  0.5000  0.6938  1 Pr 3.32, 6 In 3.33-3.38, 2 Dy 3.64
Dy  0.0000  0.5000  0.0000  4 In 3.25, 4 Pr 3.64
Dy  0.5000  0.0000  0.5000  4 In 3.25, 4 Pr 3.64
In  0.0000  0.2883  0.5000  1 In 3.01, 2 Dy 3.25, 2 Pr 3.33
In  0.0000  0.7117  0.5000  1 In 3.01, 2 Dy 3.25, 2 Pr 3.33
In  0.5000  0.2117  0.0000  1 In 3.01, 2 Dy 3.25, 2 Pr 3.33
In  0.5000  0.7883  0.0000  1 In 3.01, 2 Dy 3.25, 2 Pr 3.33

---

[10]
The following is a GGA-PBE calculation of a relaxed structure of LiSc2Mn, from Alexandria.

**Total energy**: -67.7 eV/cell
**SG**: R-3m, No. 166
**Mass density**: 3.055 g/cm³
**Formation energy from the elements**: 0.2921 eV/atom

Lattice parameters (Å, degrees): 3.1374 3.1374 29.0317 90.00 90.00 120.00
Closest atoms and distances in Å follow each position.
Fractional positions:
Li  0.0000  0.0000  0.0000  2 Sc 3.00, 6 Li 3.14
Li  0.3333  0.6667  0.6667  2 Sc 3.00, 6 Li 3.14
Li  0.6667  0.3333  0.3333  2 Sc 3.00, 6 Li 3.14
Sc  0.0000  0.0000  0.1034  3 Mn 2.58
Sc  0.0000  0.0000  0.8966  3 Mn 2.58
Sc  0.3333  0.6667  0.5633  3 Mn 2.58
Sc  0.3333  0.6667  0.7701  3 Mn 2.58
Sc  0.6667  0.3333  0.2299  3 Mn 2.58
Sc  0.6667  0.3333  0.4367  3 Mn 2.58
Mn  0.0000  0.0000  0.5000  6 Sc 2.58
Mn  0.3333  0.6667  0.1667  6 Sc 2.58
Mn  0.6667  0.3333  0.8333  6 Sc 2.58

---

[11]
The following is a GGA-PBE calculation of a relaxed structure of UVBr, from Alexandria.

**Raw formation energy**: 156.0 meV/atom
**Total energy**: -43.2 eV/cell
**SG**: Pmmn, No. 59
**Mass density**: 9.292 g/cm³

Lattice parameters (Å, degrees): 3.5750 5.9619 6.1855 90.00 90.00 90.00
Closest atoms and distances in Å follow each position.
Fractional positions:
U  0.2500  0.2500  0.0418  2 V 2.19
U  0.7500  0.7500  0.9582  2 V 2.19
V  0.2500  0.7500  0.1620  2 U 2.19
V  0.7500  0.2500  0.8380  2 U 2.19
Br  0.2500  0.7500  0.5862  1 V 2.62, 2 U 2.91
Br  0.7500  0.2500  0.4138  1 V 2.62, 2 U 2.91

---

[12]
The following is a GGA-PBE calculation of a relaxed structure of Tb2Y2Er7, from Alexandria.

**Total energy**: -52.4 eV/cell
**SG**: C2/m, No. 12
**Energy above the most stable polymorph in this dataset**: 26 meV per atom
**Mass density**: 7.893 g/cm³
**Formation energy from the elements**: 0.1611 eV/atom

Lattice parameters (Å, degrees): 7.9759 7.9759 6.0250 106.40 106.40 91.24
Closest atoms and distances in Å follow each position.
Fractional positions:
Tb  0.0910  0.0910  0.3056  2 Tb 3.41-3.67, 7 Er 3.42-3.73, 2 Y 3.69
Tb  0.9090  0.9090  0.6944  2 Tb 3.41-3.67, 7 Er 3.42-3.73, 2 Y 3.69
Y  0.2866  0.7134  0.0000  6 Er 3.27-3.45
Y  0.7134  0.2866  0.0000  6 Er 3.27-3.45
Er  0.0894  0.5624  0.3233  6 Er 3.23-3.60, 2 Y 3.27-3.41
Er  0.2665  0.2665  0.9200  5 Er 3.32-3.51, 3 Tb 3.42-3.66, 2 Y 3.45
Er  0.4376  0.9106  0.6767  6 Er 3.23-3.60, 2 Y 3.27-3.41
Er  0.5000  0.5000  0.5000  6 Er 3.24-3.41
Er  0.5624  0.0894  0.3233  6 Er 3.23-3.60, 2 Y 3.27-3.41
Er  0.7335  0.7335  0.0800  5 Er 3.32-3.51, 3 Tb 3.42-3.66, 2 Y 3.45
Er  0.9106  0.4376  0.6767  6 Er 3.23-3.60, 2 Y 3.27-3.41